[1]
DFT (PBE) results for crystalline MgNi3H at its relaxed geometry. Values from VASP.

Computed properties:
As for the excess energy over the best structure of this formula in the dataset: 0.036 eV per atom. Its energy is -0.3364 Ry per atom.

Cell and atoms, written as Quantum ESPRESSO input:
```
&SYSTEM
  ibrav = 0, nat = 10, ntyp = 3
/
ATOMIC_SPECIES
H 1.01 H.upf
Ni 58.69 Ni.upf
Mg 24.30 Mg.upf
CELL_PARAMETERS angstrom
5.1730 0.0022 0.0019
-1.6572 4.7879 -0.0017
1.1077 2.7583 4.1028
ATOMIC_POSITIONS angstrom
H 1.4268 6.0877 2.9710
H 3.9633 4.3398 1.6689
Ni 2.7503 5.0137 2.9019
Ni 0.0941 4.9638 2.8491
Ni 2.6864 3.6798 0.5448
Ni 0.4079 1.1748 0.8412
Ni 4.0483 2.6941 2.5482
Ni 0.0696 3.6156 0.5311
Mg 3.0103 1.0897 0.7377
Mg 1.4269 2.7800 2.6409
```

=====

[2]
DFT (PBE) results for crystalline Sr3Ce2N4 at its relaxed geometry. Values from VASP.

Computed properties:
The energy relative to the elements, uncorrected is -0.97 eV per atom. Its energy is -0.4811 Ry per atom.

Cell and atoms, written as Quantum ESPRESSO input:
```
&SYSTEM
  ibrav = 0, nat = 9, ntyp = 3
/
ATOMIC_SPECIES
Sr 87.62 Sr.upf
N 14.01 N.upf
Ce 140.12 Ce.upf
CELL_PARAMETERS angstrom
3.6845 0.0000 0.9063
1.6762 6.2743 1.1283
-0.0452 0.3534 8.1262
ATOMIC_POSITIONS angstrom
Sr 1.4035 2.6662 2.2368
Sr 0.0000 0.0000 0.0000
Sr 3.9120 3.9614 7.9241
N 2.2778 6.1310 6.6249
N 1.9956 2.1469 7.7723
N 3.0377 0.4967 3.5359
N 3.3199 4.4807 2.3885
Ce 2.4853 1.2554 5.7814
Ce 2.8302 5.3723 4.3794
```

=====

[3]
DFT (PBE) results for crystalline UBiP at its relaxed geometry. Values from VASP.

Computed properties:
The calculation puts the formation energy at -0.25 eV/atom. Its energy is -0.5226 Ry per atom.

Cell and atoms, written as Quantum ESPRESSO input:
```
&SYSTEM
  ibrav = 0, nat = 6, ntyp = 3
/
ATOMIC_SPECIES
U 238.03 U.upf
Bi 208.98 Bi.upf
P 30.97 P.upf
CELL_PARAMETERS angstrom
-1.0340 3.1954 -3.9300
-3.6738 1.7755 3.1742
8.0815 0.0019 3.0033
ATOMIC_POSITIONS angstrom
U 4.0252 3.9051 2.2762
U -0.6514 1.0677 -0.0287
Bi 0.8258 3.7485 1.0560
Bi 2.5480 1.2243 1.1915
P -1.8409 2.7614 -1.7583
P -2.8668 2.2096 1.0025
```

=====

[4]
DFT (PBE) results for crystalline SrNi4Pt at its relaxed geometry. Values from VASP.

Computed properties:
The calculation puts the formation energy at 0.05 eV/atom. Its energy is -0.3742 Ry per atom.

Cell and atoms, written as Quantum ESPRESSO input:
```
&SYSTEM
  ibrav = 0, nat = 6, ntyp = 3
/
ATOMIC_SPECIES
Sr 87.62 Sr.upf
Ni 58.69 Ni.upf
Pt 195.08 Pt.upf
CELL_PARAMETERS angstrom
-2.6302 -4.1806 0.7995
-3.6916 -1.2701 -3.1295
0.5494 -3.9240 -3.0553
ATOMIC_POSITIONS angstrom
Sr 0.0000 0.0000 0.0000
Ni -1.9027 -5.4674 -3.5362
Ni -3.9960 -4.1574 -3.5728
Ni -2.1739 -3.5305 -2.0281
Ni -3.4721 -5.5941 -1.6334
Pt -4.3293 -7.0310 -4.0389
```

=====

[5]
DFT (PBE) results for crystalline RbSiPt2 at its relaxed geometry. Values from VASP.

Computed properties:
The energy relative to the elements, uncorrected is -0.15 eV per atom. Its energy is -0.3501 Ry per atom.

Cell and atoms, written as Quantum ESPRESSO input:
```
&SYSTEM
  ibrav = 0, nat = 8, ntyp = 3
/
ATOMIC_SPECIES
Si 28.09 Si.upf
Pt 195.08 Pt.upf
Rb 85.47 Rb.upf
CELL_PARAMETERS angstrom
-7.0960 -0.8523 -2.3515
1.5953 -6.9903 -2.2804
-3.7041 -5.2330 1.0377
ATOMIC_POSITIONS angstrom
Si -2.7503 -3.9213 -2.3159
Si -2.4296 -8.0723 -1.7793
Pt -4.2798 -2.6088 -1.2031
Pt -1.6978 -5.8896 -1.7520
Pt -4.6426 -7.7344 -1.2421
Pt -7.7894 -9.9183 -2.9913
Rb -6.7752 -5.0033 -1.8149
Rb 0.0000 0.0000 0.0000
```

=====

[6]
DFT (PBE) results for crystalline Er5Th3 at its relaxed geometry. Values from VASP.

Computed properties:
As for the excess energy over the best structure of this formula in the dataset: 0.011 eV per atom. The calculation puts the formation energy at 0.04 eV/atom. Its energy is -0.4114 Ry per atom.

Cell and atoms, written as Quantum ESPRESSO input:
```
&SYSTEM
  ibrav = 0, nat = 8, ntyp = 2
/
ATOMIC_SPECIES
Er 167.26 Er.upf
Th 232.04 Th.upf
CELL_PARAMETERS angstrom
-1.1425 -3.1732 1.1260
3.6808 0.2432 4.4200
-8.6578 5.5672 6.9036
ATOMIC_POSITIONS angstrom
Er -2.3629 -0.4345 1.9916
Er 0.8997 -1.2275 3.0676
Er -8.2951 5.3339 6.6143
Er -0.7017 1.7562 4.2370
Er -3.9489 2.5392 3.1488
Th -6.7209 2.3678 5.4666
Th -4.9762 4.5049 7.6454
Th -3.4489 1.5688 6.5350
```

=====

Which formula does entry 1 have?
MgNi3H